Entry 1:
A relaxed structure of BeTl2Tc, computed with GGA-PBE.

Unit cell a=3.9588 b=3.7655 c=5.4648 alpha=69.83 beta=90.00 gamma=90.00
Fractional positions:
Be 0.0000 0.6800 0.5163
Tc 0.5000 0.5627 0.7496
Tl 0.0000 0.9793 0.9164
Tl 0.5000 0.2779 0.3177

uncorrected energy	-4.171	eV/atom
distance to the lowest polymorph of the same formula	0.1055	eV/atom
symmetry	No. 6
calculated formation energy	207	kJ/mol of formula units

Entry 2:
A relaxed structure of Be2TlTc, computed with GGA-PBE.

Unit cell a=4.4444 b=4.4444 c=4.6112 alpha=80.13 beta=80.13 gamma=43.22
Fractional positions:
Be 0.5437 0.5437 0.3433
Be 0.9563 0.9563 0.1567
Tc 0.2500 0.2500 0.2500
Tl 0.7500 0.7500 0.7500

uncorrected energy	-4.675	eV/atom
distance to the lowest polymorph of the same formula	0.1324	eV/atom
symmetry	No. 12
calculated formation energy	143	kJ/mol of formula units

Entry 3:
A relaxed structure of Be2TlTc, computed with GGA-PBE.

Unit cell a=3.9966 b=3.9973 c=3.3370 alpha=90.00 beta=90.00 gamma=90.00
Fractional positions:
Be 0.5000 0.5000 0.0000
Be 0.0000 0.0000 0.0000
Tc 0.5000 0.0000 0.5000
Tl 0.0000 0.5000 0.5000

uncorrected energy	-4.661	eV/atom
distance to the lowest polymorph of the same formula	0.1462	eV/atom
symmetry	No. 123
calculated formation energy	149	kJ/mol of formula units

Entry 4:
A relaxed structure of BeTl2Tc, computed with GGA-PBE.

Unit cell a=7.3604 b=7.3604 c=5.9261 alpha=51.61 beta=51.61 gamma=90.00
Fractional positions:
Tl 0.3750 0.4139 0.7500
Tl 0.5861 0.1250 0.2500
Tl 0.1639 0.6250 0.2500
Tl 0.8750 0.8361 0.7500
Be 0.2500 0.7500 0.5000
Be 0.5000 0.5000 0.0000
Tc 0.7500 0.2500 0.5000
Tc 0.0000 0.0000 0.0000

uncorrected energy	-3.719	eV/atom
distance to the lowest polymorph of the same formula	0.5570	eV/atom
symmetry	No. 122
calculated formation energy	381	kJ/mol of formula units

Which of these has the highest calculated formation energy?
number 4